(1)
Compound: Dy3Er8Mg
Source: Alexandria via LeMat-Bulk
Functional: GGA-PBE
Structure: relaxed

Calculated values
V   30.42 A^3/atom
Energy   -51.637 eV for the cell shown
Mass density   8.414 g cm⁻³
Energy relative to the elements   0.022 eV per atom

abc: 12.599 12.599 8.546
angles: 102.76 102.76 16.03
Fractional positions:
Dy 0.000 0.000 0.000
Dy 0.018 0.018 0.614
Dy 0.864 0.864 0.956
Er 0.195 0.195 0.292
Er 0.248 0.248 0.967
Er 0.396 0.396 0.646
Er 0.439 0.439 0.278
Er 0.578 0.578 0.334
Er 0.618 0.618 0.950
Er 0.765 0.765 0.631
Er 0.819 0.819 0.305
Mg 0.151 0.151 0.642


(2)
Compound: Dy12Er3Mg
Source: Alexandria via LeMat-Bulk
Functional: GGA-PBE
Structure: relaxed

Calculated values
V   30.81 A^3/atom
Energy   -70.195 eV for the cell shown
Mass density   8.341 g cm⁻³
Energy relative to the elements   0.020 eV per atom

abc: 4.970 4.970 19.954
angles: 90.00 90.00 90.00
Fractional positions:
Dy 0.000 0.000 0.000
Dy 0.000 0.000 0.246
Dy 0.000 0.000 0.500
Dy 0.000 0.000 0.754
Dy 0.000 0.500 0.123
Dy 0.000 0.500 0.374
Dy 0.000 0.500 0.626
Dy 0.000 0.500 0.877
Dy 0.500 0.000 0.123
Dy 0.500 0.000 0.374
Dy 0.500 0.000 0.626
Dy 0.500 0.000 0.877
Er 0.500 0.500 0.248
Er 0.500 0.500 0.500
Er 0.500 0.500 0.752
Mg 0.500 0.500 0.000


(3)
Compound: DyEr2Mg
Source: Alexandria via LeMat-Bulk
Functional: GGA-PBE
Structure: relaxed

Calculated values
V   29.35 A^3/atom
Energy   -45.773 eV for the cell shown
Mass density   7.374 g cm⁻³
Energy relative to the elements   0.016 eV per atom

abc: 3.496 3.496 33.276
angles: 90.00 90.00 120.00
Fractional positions:
Dy 0.000 0.000 0.000
Dy 0.333 0.667 0.667
Dy 0.667 0.333 0.333
Er 0.000 0.000 0.247
Er 0.000 0.000 0.753
Er 0.333 0.667 0.419
Er 0.333 0.667 0.914
Er 0.667 0.333 0.086
Er 0.667 0.333 0.581
Mg 0.000 0.000 0.500
Mg 0.333 0.667 0.167
Mg 0.667 0.333 0.833


(4)
Compound: Dy4ErMg4
Source: Alexandria via LeMat-Bulk
Functional: GGA-PBE
Structure: relaxed

Calculated values
V   30.31 A^3/atom
Energy   -53.823 eV for the cell shown
Mass density   5.566 g cm⁻³
Energy relative to the elements   0.271 eV per atom

abc: 6.903 6.903 11.448
angles: 90.00 90.00 90.00
Fractional positions:
Dy 0.028 0.250 0.182
Dy 0.250 0.028 0.682
Dy 0.250 0.472 0.682
Dy 0.472 0.250 0.182
Dy 0.528 0.750 0.818
Dy 0.750 0.528 0.318
Dy 0.750 0.972 0.318
Dy 0.972 0.750 0.818
Er 0.250 0.750 0.250
Er 0.750 0.250 0.750
Mg 0.022 0.250 0.474
Mg 0.250 0.022 0.974
Mg 0.250 0.478 0.974
Mg 0.478 0.250 0.474
Mg 0.522 0.750 0.526
Mg 0.750 0.522 0.026
Mg 0.750 0.978 0.026
Mg 0.978 0.750 0.526


Which value of energy does entry 4 give? -53.823 eV for the cell shown